Entry 1:
Here is Na2AgBiBr6 after structural relaxation from Alexandria via LeMat-Bulk. Energies are from PBE.

Structure (CIF):
```
data_Na2AgBiBr6
_cell_length_a 7.4350
_cell_length_b 7.4350
_cell_length_c 19.9492
_cell_angle_alpha 90.00
_cell_angle_beta 90.00
_cell_angle_gamma 120.00
_symmetry_space_group_name_H-M 'R 3'
_symmetry_Int_Tables_number 146
_symmetry_space_group_name_Hall 'R 3'
loop_
_atom_site_label
_atom_site_type_symbol
_atom_site_fract_x
_atom_site_fract_y
_atom_site_fract_z
Na1 Na 0.0000 0.0000 0.0000
Na2 Na 0.0000 0.0000 0.4931
Ag1 Ag 0.0000 0.0000 0.2953
Bi1 Bi 0.0000 0.0000 0.8035
Br1 Br 0.0140 0.3741 0.0594
Br2 Br 0.0141 0.7007 0.8947
```

Output
Magnetization in μB per cell: 0.00
Density of states at the Fermi level in states/eV per cell: 0.00
Electronic total energy in eV per atom: -2.9202
Uncorrected formation energy in eV/atom: -0.98


Entry 2:
Here is ZnHOs after structural relaxation from Alexandria via LeMat-Bulk. Energies are from PBE.

Structure (CIF):
```
data_ZnHOs
_cell_length_a 9.2259
_cell_length_b 2.8825
_cell_length_c 6.7062
_cell_angle_alpha 90.00
_cell_angle_beta 133.04
_cell_angle_gamma 90.00
_symmetry_space_group_name_H-M 'C 1 m 1'
_symmetry_Int_Tables_number 8
loop_
_symmetry_equiv_pos_as_xyz
'x,y,z'
'x,-y,z'
'x+1/2,y+1/2,z'
'x+1/2,-y+1/2,z'
loop_
_atom_site_label
_atom_site_type_symbol
_atom_site_fract_x
_atom_site_fract_y
_atom_site_fract_z
Zn1 Zn 0.0000 0.0000 0.0000
Zn2 Zn 0.1568 0.0000 0.7951
H1 H 0.3131 0.5000 0.4027
H2 H 0.3362 0.5000 0.1532
Os1 Os 0.3058 0.0000 0.5443
Os2 Os 0.4896 0.0000 0.3431
```

Output
Magnetization in μB per cell: 0.00
Energy above the most stable polymorph in this dataset in meV/atom: 42
Density of states at the Fermi level in states/eV per cell: 6.15
Electronic total energy in eV per atom: -5.0626


Entry 3:
Here is Tl2CrNi after structural relaxation from Alexandria via LeMat-Bulk. Energies are from PBE.

Structure (CIF):
```
data_Tl2CrNi
_cell_length_a 3.2896
_cell_length_b 3.2896
_cell_length_c 6.9753
_cell_angle_alpha 90.00
_cell_angle_beta 90.00
_cell_angle_gamma 90.00
_symmetry_space_group_name_H-M 'P 4/m m m'
_symmetry_Int_Tables_number 123
_symmetry_space_group_name_Hall '-P 4 2'
loop_
_atom_site_label
_atom_site_type_symbol
_atom_site_fract_x
_atom_site_fract_y
_atom_site_fract_z
Tl1 Tl 0.0000 0.0000 0.2299
Cr1 Cr 0.5000 0.5000 0.5000
Ni1 Ni 0.5000 0.5000 0.0000
```

Output
Magnetization in μB per cell: 3.89
Energy above the most stable polymorph in this dataset in meV/atom: 75
ΔE_f in meV/atom: 495
Density of states at the Fermi level in states/eV per cell: 2.48
Electronic total energy in eV per atom: -4.5392


Entry 4:
Here is SrTcRu2 after structural relaxation from Alexandria via LeMat-Bulk. Energies are from PBE.

Structure (CIF):
```
data_SrTcRu2
_cell_length_a 3.0190
_cell_length_b 3.2603
_cell_length_c 7.5888
_cell_angle_alpha 90.00
_cell_angle_beta 90.00
_cell_angle_gamma 90.00
_symmetry_space_group_name_H-M 'P m m m'
_symmetry_Int_Tables_number 47
loop_
_symmetry_equiv_pos_as_xyz
'x,y,z'
'-x,-y,-z'
'-x,-y,z'
'x,y,-z'
'x,-y,-z'
'-x,y,z'
'-x,y,-z'
'x,-y,z'
loop_
_atom_site_label
_atom_site_type_symbol
_atom_site_fract_x
_atom_site_fract_y
_atom_site_fract_z
Sr1 Sr 0.0000 0.0000 0.0000
Tc1 Tc 0.0000 0.0000 0.5000
Ru1 Ru 0.5000 0.5000 0.3158
```

Output
Magnetization in μB per cell: 0.00
Energy above the most stable polymorph in this dataset in meV/atom: 0
ΔE_f in meV/atom: 477
Density of states at the Fermi level in states/eV per cell: 6.20
Electronic total energy in eV per atom: -7.1729